Record 1
DFT (GGA-PBE) results for Li3Tl2Pd4 after structural relaxation.

POSCAR file:
```
Li3Tl2Pd4
1.0
4.277 0.000 0.000
-2.139 4.172 0.510
0.000 0.514 8.408
Li Tl Pd
3 2 4
Cartesian
0.000 3.157 5.078 Li
0.000 0.000 0.000 Li
2.139 1.528 3.840 Li
0.000 2.895 2.245 Tl
2.139 1.791 6.673 Tl
2.139 1.477 1.085 Pd
0.000 0.351 5.610 Pd
2.139 4.335 3.309 Pd
0.000 3.209 7.833 Pd
```

Results
Formation enthalpy at 0 K   -3.4 eV/f.u.
N(E_F)   0.269 states/eV/atom

***

Record 2
DFT (GGA-PBE) results for LaMgZrPd2 after structural relaxation.

POSCAR file:
```
LaMgZrPd2
1.0
-1.745 1.091 4.539
4.167 -2.489 2.200
2.570 4.269 -0.038
Mg Zr Pd La
1 1 2 1
Cartesian
2.083 -1.245 1.100 Mg
0.000 0.000 0.000 Zr
1.285 2.135 -0.019 Pd
-0.873 0.545 2.269 Pd
2.496 1.435 3.351 La
```

Results
Formation enthalpy at 0 K   0.7 eV/f.u.
N(E_F)   0.691 states/eV/atom

***

Record 3
DFT (GGA-PBE) results for La5PmPb5 after structural relaxation.

POSCAR file:
```
La5PmPb5
1.0
-4.628 1.993 4.190
4.219 -6.503 2.628
4.968 7.168 2.077
La Pm Pb
5 1 5
Cartesian
-0.016 1.517 4.386 La
2.470 5.125 5.416 La
2.484 3.584 1.038 La
2.088 -2.467 3.479 La
4.574 1.141 4.508 La
0.000 0.000 0.000 Pm
-0.193 -1.520 5.635 Pb
2.288 2.074 6.666 Pb
-2.314 0.997 2.095 Pb
2.270 0.585 2.229 Pb
4.751 4.178 3.260 Pb
```

Results
Formation enthalpy at 0 K   -4.3 eV/f.u.
N(E_F)   1.064 states/eV/atom

***

Record 4
DFT (GGA-PBE) results for Zn2GaHg2 after structural relaxation.

POSCAR file:
```
Zn2GaHg2
1.0
8.088 0.000 0.000
0.000 8.088 0.000
0.000 0.000 3.217
Zn Hg Ga
4 4 2
Cartesian
0.925 4.969 1.608 Zn
4.969 7.163 1.608 Zn
7.163 3.119 1.608 Zn
3.119 0.925 1.608 Zn
2.544 6.588 0.000 Hg
6.588 5.544 0.000 Hg
5.544 1.500 0.000 Hg
1.500 2.544 0.000 Hg
0.000 0.000 0.000 Ga
4.044 4.044 0.000 Ga
```

Results
Formation enthalpy at 0 K   0.7 eV/f.u.
Energy above the most stable polymorph in this dataset   0.032 eV per atom
N(E_F)   0.387 states/eV/atom

***

Record 5
DFT (GGA-PBE) results for Cu3AsO4 after structural relaxation.

POSCAR file:
```
Cu3AsO4
1.0
-3.793 1.096 3.518
3.354 -1.777 4.170
2.378 6.067 0.673
As O Cu
2 8 6
Cartesian
-3.324 0.858 4.007 As
2.264 2.017 5.696 As
2.461 -1.384 3.781 O
-1.989 0.457 2.908 O
0.994 0.922 1.712 O
0.767 1.138 5.375 O
3.470 1.684 4.438 O
-0.479 3.380 3.100 O
1.777 3.714 5.661 O
2.362 4.413 2.099 O
0.733 -0.835 4.933 Cu
2.619 0.706 2.856 Cu
-0.213 1.168 3.632 Cu
-1.792 3.710 4.769 Cu
1.164 4.683 4.023 Cu
3.619 3.258 3.140 Cu
```

Results
Formation energy without anion corrections   -0.642 eV per atom
Energy above the most stable polymorph in this dataset   0.000 eV per atom
N(E_F)   0.446 states/eV/atom

***

Record 6
DFT (GGA-PBE) results for Cs4K7Au after structural relaxation.

POSCAR file:
```
Cs4K7Au
1.0
6.415 0.000 1.995
1.244 13.087 7.310
-0.461 3.212 12.793
Cs K Au
4 7 1
Cartesian
4.334 8.267 8.685 Cs
2.864 8.033 13.413 Cs
5.420 11.106 16.505 Cs
1.778 5.194 5.593 Cs
5.708 2.343 4.268 K
1.491 13.957 17.830 K
0.293 5.368 10.369 K
6.905 10.932 11.729 K
3.004 13.386 12.961 K
3.207 0.000 0.997 K
4.194 2.914 9.136 K
0.000 0.000 0.000 Au
```

Results
Formation enthalpy at 0 K   -0.5 eV/f.u.
N(E_F)   0.856 states/eV/atom

***

Record 7
DFT (GGA-PBE) results for SbTe3O after structural relaxation.

POSCAR file:
```
SbTe3O
1.0
-0.221 0.610 5.634
-4.688 -3.188 0.161
3.184 -4.650 0.628
Sb Te O
1 3 1
Cartesian
0.000 0.000 0.000 Sb
-2.344 -1.594 0.081 Te
1.592 -2.325 0.314 Te
-0.110 0.305 2.817 Te
-0.862 -3.614 3.212 O
```

Results
Formation energy without anion corrections   1.182 eV per atom
Energy above the most stable polymorph in this dataset   0.993 eV per atom
N(E_F)   3.145 states/eV/atom